NdPuFeRu PBE optimized geometry; final energy = -9.157 eV per atom; density of states at the Fermi level = 1.268 states/eV per atom; spin magnetization = 2.50 μB per cell; ΔH_f (0 K) = 0.0529 eV/atom
1.0
4.866 0.000 0.000
2.433 4.214 0.000
2.433 1.405 3.973
Nd Fe Ru Pu
1 1 1 1
Direct
0.000 0.000 0.000
0.250 0.250 0.250
0.750 0.750 0.750
0.500 0.500 0.500